Material: MnCrAu2O8
Method: DFT, PBE with a Hubbard U
State: relaxed

Structure (extended XYZ):
```
12
Lattice="-3.205 3.205 3.471 3.205 -3.205 3.471 3.205 3.205 -3.471" Properties=species:S:1:pos:R:3 pbc="T T T"
Mn 0.000 0.000 0.000
Cr 3.205 0.000 1.735
Au 0.000 0.000 3.471
Au 0.000 3.205 1.735
O 2.004 3.205 -1.600
O 1.201 0.000 1.871
O 0.000 2.078 0.044
O 3.205 2.004 1.600
O 0.000 4.332 0.044
O 0.000 1.201 5.070
O -1.127 3.205 3.427
O 1.127 3.205 3.427
```

Calculated values
DOS(E_F), states/eV/f.u.: 5.669
Density, kg/m³: 7322
Total DFT energy (no corrections), eV per atom: -5.334